A plane-wave DFT calculation with PBE was carried out for a geometry-optimized SiS structure.

Magnetic moment ... 0.00 μB per formula unit
Raw total energy ... -4.7652 eV/atom
Formation energy (no corrections) ... 0.01 eV/atom
Theoretical density ... 2.36 g cm⁻³

abc: 3.3602 13.7811 5.4854
angles: 90.00 90.00 90.00
With the nearest neighbours (Å) after each atom.
Space group Imm2 (No. 44)
Unique sites:
1 Si 0.0000 0.0000 0.0000 [2 per cell]  2 S 2.27
2 Si 0.0000 0.1821 0.5053 [4 per cell]  3 S 2.35-2.40
3 S 0.0000 0.2014 0.9404 [4 per cell]  3 Si 2.35-2.40
4 S 0.0000 0.5000 0.2211 [2 per cell]  2 Si 2.27